1.
Co3Ag2 | GGA-PBE | relaxed

```
Co3Ag2
1.0
0.413 5.617 -2.729
-5.612 -2.407 1.373
2.167 4.723 2.874
Ag Co
4 6
direct
0.591 0.409 0.226
0.909 0.091 0.274
0.091 0.909 0.726
0.409 0.591 0.774
0.250 0.964 0.250
0.464 0.750 0.250
0.036 0.536 0.250
0.964 0.464 0.750
0.536 0.250 0.750
0.750 0.036 0.750
```

Summary:
**E_tot**: -45.28 eV per cell
**V**: 15.986 Å³ per atom



2.
GdBC | GGA-PBE | relaxed

```
GdBC
1.0
1.711 -8.526 0.000
1.711 8.526 0.000
0.000 0.000 3.576
B C Gd
2 2 2
direct
0.720 0.280 0.500
0.280 0.720 0.500
0.633 0.367 0.500
0.367 0.633 0.500
0.856 0.144 0.000
0.144 0.856 0.000
```

Summary:
**E_tot**: -41.08 eV per cell
**V**: 17.391 Å³ per atom



3.
Lu2ScFe | GGA-PBE | relaxed

```
Lu2ScFe
1.0
3.042 -3.158 2.232
4.430 1.508 1.520
0.926 0.458 4.811
Fe Lu Sc
1 2 1
direct
0.250 0.250 0.250
0.500 0.500 0.500
0.750 0.750 0.750
0.000 0.000 0.000
```

Summary:
**E_tot**: -22.45 eV per cell
**V**: 21.059 Å³ per atom



4.
TaInCuIr | GGA-PBE | relaxed

```
TaInCuIr
1.0
0.000 3.197 3.197
3.197 0.000 3.197
3.197 3.197 0.000
Cu In Ir Ta
1 1 1 1
direct
0.750 0.750 0.750
0.000 0.000 0.000
0.500 0.500 0.500
0.250 0.250 0.250
```

Summary:
**E_tot**: -27.07 eV per cell
**V**: 16.338 Å³ per atom



Q: What is the V in the fourth record?
A: 16.338 Å³ per atom



Q: Look up the E_tot of the first one.
A: -45.28 eV per cell



Q: Which formula does entry 1 have?
A: Co3Ag2